1.
# PuPaZn4

Crystalline PuPaZn4 at its relaxed geometry (PBE-GGA, Alexandria).

Geometry as CIF:
```
data_PuPaZn4
_space_group_name_H-M_alt 'F -4 3 m'
_space_group_IT_number 216
_space_group_name_Hall 'F -4 2 3'
_cell_length_a 7.641
_cell_length_b 7.641
_cell_length_c 7.641
_cell_angle_alpha 90.00
_cell_angle_beta 90.00
_cell_angle_gamma 90.00
loop_
_atom_site_label
_atom_site_type_symbol
_atom_site_fract_x
_atom_site_fract_y
_atom_site_fract_z
Pu1 Pu 0.000 0.000 0.000
Pa1 Pa 0.250 0.250 0.750
Zn1 Zn 0.126 0.126 0.374
```



2.
# Pu2PaZn6

Crystalline Pu2PaZn6 at its relaxed geometry (PBE-GGA, Alexandria).

Geometry as CIF:
```
data_Pu2PaZn6
_space_group_name_H-M_alt 'R -3 m'
_space_group_IT_number 166
_space_group_name_Hall '-R 3 2"'
_cell_length_a 8.1970
_cell_length_b 8.1970
_cell_length_c 8.7775
_cell_angle_alpha 90.00
_cell_angle_beta 90.00
_cell_angle_gamma 120.00
loop_
_atom_site_label
_atom_site_type_symbol
_atom_site_fract_x
_atom_site_fract_y
_atom_site_fract_z
Pu1 Pu 0.0000 0.0000 0.1739
Pa1 Pa 0.0000 0.0000 0.5000
Zn1 Zn 0.0000 0.3306 0.0000
```



3.
# PuPaZn

Crystalline PuPaZn at its relaxed geometry (PBE-GGA, Alexandria).

Geometry as CIF:
```
data_PuPaZn
_space_group_name_H-M_alt 'I 4 m m'
_space_group_IT_number 107
_space_group_name_Hall 'I 4 -2'
_cell_length_a 3.732
_cell_length_b 3.732
_cell_length_c 9.435
_cell_angle_alpha 90.00
_cell_angle_beta 90.00
_cell_angle_gamma 90.00
loop_
_atom_site_label
_atom_site_type_symbol
_atom_site_fract_x
_atom_site_fract_y
_atom_site_fract_z
Pu1 Pu 0.000 0.000 0.000
Pa1 Pa 0.000 0.000 0.337
Zn1 Zn 0.000 0.000 0.668
```



4.
# PuPa2Zn

Crystalline PuPa2Zn at its relaxed geometry (PBE-GGA, Alexandria).

Geometry as CIF:
```
data_PuPa2Zn
_space_group_name_H-M_alt 'P 4/m m m'
_space_group_IT_number 123
_space_group_name_Hall '-P 4 2'
_cell_length_a 5.213
_cell_length_b 5.213
_cell_length_c 3.231
_cell_angle_alpha 90.00
_cell_angle_beta 90.00
_cell_angle_gamma 90.00
loop_
_atom_site_label
_atom_site_type_symbol
_atom_site_fract_x
_atom_site_fract_y
_atom_site_fract_z
Pu1 Pu 0.000 0.000 0.000
Pa1 Pa 0.000 0.500 0.500
Zn1 Zn 0.500 0.500 0.000
```



5.
# PuPa2Zn

Crystalline PuPa2Zn at its relaxed geometry (PBE-GGA, Alexandria).

Geometry as CIF:
```
data_PuPa2Zn
_space_group_name_H-M_alt 'P 4/m m m'
_space_group_IT_number 123
_space_group_name_Hall '-P 4 2'
_cell_length_a 3.650
_cell_length_b 3.650
_cell_length_c 6.789
_cell_angle_alpha 90.00
_cell_angle_beta 90.00
_cell_angle_gamma 90.00
loop_
_atom_site_label
_atom_site_type_symbol
_atom_site_fract_x
_atom_site_fract_y
_atom_site_fract_z
Pu1 Pu 0.000 0.000 0.000
Pa1 Pa 0.500 0.500 0.259
Zn1 Zn 0.000 0.000 0.500
```



6.
# PuPaZn

Crystalline PuPaZn at its relaxed geometry (PBE-GGA, Alexandria).

Geometry as CIF:
```
data_PuPaZn
_space_group_name_H-M_alt 'P -6 m 2'
_space_group_IT_number 187
_space_group_name_Hall 'P -6 2'
_cell_length_a 4.9566
_cell_length_b 4.9566
_cell_length_c 2.8646
_cell_angle_alpha 90.00
_cell_angle_beta 90.00
_cell_angle_gamma 120.00
loop_
_atom_site_label
_atom_site_type_symbol
_atom_site_fract_x
_atom_site_fract_y
_atom_site_fract_z
Pu1 Pu 0.0000 0.0000 0.0000
Pa1 Pa 0.3333 0.6667 0.0000
Zn1 Zn 0.6667 0.3333 0.5000
```



7.
# Pu2PaZn9

Crystalline Pu2PaZn9 at its relaxed geometry (PBE-GGA, Alexandria).

Geometry as CIF:
```
data_Pu2PaZn9
_space_group_name_H-M_alt 'R -3 m'
_space_group_IT_number 166
_space_group_name_Hall '-R 3 2"'
_cell_length_a 5.3818
_cell_length_b 5.3818
_cell_length_c 26.0200
_cell_angle_alpha 90.00
_cell_angle_beta 90.00
_cell_angle_gamma 120.00
loop_
_atom_site_label
_atom_site_type_symbol
_atom_site_fract_x
_atom_site_fract_y
_atom_site_fract_z
Pu1 Pu 0.0000 0.0000 0.1454
Pa1 Pa 0.0000 0.0000 0.0000
Zn1 Zn 0.0000 0.0000 0.3349
Zn2 Zn 0.0000 0.0000 0.5000
Zn3 Zn 0.0036 0.5018 0.9186
```



8.
# PuPa2Zn9

Crystalline PuPa2Zn9 at its relaxed geometry (PBE-GGA, Alexandria).

Geometry as CIF:
```
data_PuPa2Zn9
_space_group_name_H-M_alt 'R -3 m'
_space_group_IT_number 166
_space_group_name_Hall '-R 3 2"'
_cell_length_a 5.3577
_cell_length_b 5.3577
_cell_length_c 26.3478
_cell_angle_alpha 90.00
_cell_angle_beta 90.00
_cell_angle_gamma 120.00
loop_
_atom_site_label
_atom_site_type_symbol
_atom_site_fract_x
_atom_site_fract_y
_atom_site_fract_z
Pu1 Pu 0.0000 0.0000 0.0000
Pa1 Pa 0.0000 0.0000 0.1489
Zn1 Zn 0.0000 0.0000 0.3354
Zn2 Zn 0.0000 0.0000 0.5000
Zn3 Zn 0.0050 0.5025 0.9184
```



9.
# PuPa2Zn6

Crystalline PuPa2Zn6 at its relaxed geometry (PBE-GGA, Alexandria).

Geometry as CIF:
```
data_PuPa2Zn6
_space_group_name_H-M_alt 'P 6/m m m'
_space_group_IT_number 191
_space_group_name_Hall '-P 6 2'
_cell_length_a 8.1595
_cell_length_b 8.1595
_cell_length_c 2.8954
_cell_angle_alpha 90.00
_cell_angle_beta 90.00
_cell_angle_gamma 120.00
loop_
_atom_site_label
_atom_site_type_symbol
_atom_site_fract_x
_atom_site_fract_y
_atom_site_fract_z
Pu1 Pu 0.0000 0.0000 0.0000
Pa1 Pa 0.3333 0.6667 0.0000
Zn1 Zn 0.0000 0.3280 0.5000
```



10.
# PuZr14Pa

Crystalline PuZr14Pa at its relaxed geometry (PBE-GGA, Alexandria).

Geometry as CIF:
```
data_PuZr14Pa
_space_group_name_H-M_alt 'A m m 2'
_space_group_IT_number 38
_cell_length_a 9.022
_cell_length_b 9.114
_cell_length_c 9.117
_cell_angle_alpha 90.00
_cell_angle_beta 90.00
_cell_angle_gamma 90.00
loop_
_space_group_symop_operation_xyz
'x,y,z'
'-x,-y,z'
'-x,y,z'
'x,-y,z'
'x,y+1/2,z+1/2'
'-x,-y+1/2,z+1/2'
'-x,y+1/2,z+1/2'
'x,-y+1/2,z+1/2'
loop_
_atom_site_label
_atom_site_type_symbol
_atom_site_fract_x
_atom_site_fract_y
_atom_site_fract_z
Pu1 Pu 0.000 0.000 0.000
Zr1 Zr 0.000 0.246 0.250
Zr2 Zr 0.245 0.000 0.750
Zr3 Zr 0.249 0.250 0.000
Zr4 Zr 0.253 0.000 0.250
Zr5 Zr 0.500 0.000 0.502
Zr6 Zr 0.500 0.000 0.998
Zr7 Zr 0.500 0.250 0.250
Pa1 Pa 0.000 0.000 0.501
```



11.
# Pu2Zr2Pa3

Crystalline Pu2Zr2Pa3 at its relaxed geometry (PBE-GGA, Alexandria).

Geometry as CIF:
```
data_Pu2Zr2Pa3
_space_group_name_H-M_alt 'P -1'
_space_group_IT_number 2
_cell_length_a 5.440
_cell_length_b 5.676
_cell_length_c 5.799
_cell_angle_alpha 93.40
_cell_angle_beta 108.14
_cell_angle_gamma 98.30
loop_
_space_group_symop_operation_xyz
'x,y,z'
'-x,-y,-z'
loop_
_atom_site_label
_atom_site_type_symbol
_atom_site_fract_x
_atom_site_fract_y
_atom_site_fract_z
Pu1 Pu 0.026 0.295 0.169
Zr1 Zr 0.394 0.449 0.719
Pa1 Pa 0.201 0.887 0.401
Pa2 Pa 0.500 0.000 0.000
```



12.
# PuZrPa14

Crystalline PuZrPa14 at its relaxed geometry (PBE-GGA, Alexandria).

Geometry as CIF:
```
data_PuZrPa14
_space_group_name_H-M_alt 'P 4/m m m'
_space_group_IT_number 123
_space_group_name_Hall '-P 4 2'
_cell_length_a 6.463
_cell_length_b 6.463
_cell_length_c 9.543
_cell_angle_alpha 90.00
_cell_angle_beta 90.00
_cell_angle_gamma 90.00
loop_
_atom_site_label
_atom_site_type_symbol
_atom_site_fract_x
_atom_site_fract_y
_atom_site_fract_z
Pu1 Pu 0.000 0.000 0.000
Zr1 Zr 0.500 0.500 0.000
Pa1 Pa 0.000 0.000 0.500
Pa2 Pa 0.000 0.500 0.000
Pa3 Pa 0.000 0.500 0.500
Pa4 Pa 0.251 0.251 0.247
Pa5 Pa 0.500 0.500 0.500
```



13.
# PuZr3Pa

Crystalline PuZr3Pa at its relaxed geometry (PBE-GGA, Alexandria).

Geometry as CIF:
```
data_PuZr3Pa
_space_group_name_H-M_alt 'P 1 21/c 1'
_space_group_IT_number 14
_cell_length_a 5.886
_cell_length_b 10.186
_cell_length_c 8.791
_cell_angle_alpha 90.00
_cell_angle_beta 117.31
_cell_angle_gamma 90.00
loop_
_space_group_symop_operation_xyz
'x,y,z'
'-x,-y,-z'
'-x,y+1/2,-z+1/2'
'x,-y+1/2,z+1/2'
loop_
_atom_site_label
_atom_site_type_symbol
_atom_site_fract_x
_atom_site_fract_y
_atom_site_fract_z
Pu1 Pu 0.144 0.128 0.017
Zr1 Zr 0.080 0.620 0.929
Zr2 Zr 0.286 0.611 0.340
Zr3 Zr 0.439 0.623 0.736
Pa1 Pa 0.304 0.160 0.375
```



In eV per atom, the formation energy values for the records above are, in order, -0.1369, -0.1950, 0.0385, -0.0014, 0.1323, 0.1036, -0.1096, -0.0910, 0.0967, 0.0533, 0.0926, 0.0313, 0.0808.
In states/eV per atom, the N(E_F) values for the records above are, in order, 1.522, 1.266, 1.816, 1.969, 2.338, 2.486, 1.228, 1.685, 1.976, 1.427, 2.087, 1.836, 1.819.